DFT (PBE) results for a geometry-optimized CoSb3 structure.

```
4
Lattice="3.403 0.000 0.000 -1.701 2.947 0.000 0.000 0.000 9.398" Properties=species:S:1:pos:R:3 pbc="T T T"
Co 0.000 0.000 0.000
Sb 0.000 0.000 4.699
Sb 1.701 0.982 1.678
Sb 1.701 0.982 7.721
```

Results
ΔE_f (raw): 206 meV/atom
SG: No. 187
Relative energy among the computed polymorphs: 395 meV per atom

DFT (PBE) results for a geometry-optimized GaHg2Te4Pb structure.

```
8
Lattice="7.034 -0.289 0.000 -0.872 6.986 0.000 -3.081 -3.348 6.041" Properties=species:S:1:pos:R:3 pbc="T T T"
Ga 0.000 0.000 6.014
Hg 3.517 -0.145 3.189
Hg -0.436 3.493 3.189
Te 1.466 1.593 4.382
Te 1.398 4.897 1.325
Te 4.765 1.799 1.325
Te -1.466 -1.593 4.382
Pb 0.000 0.000 0.361
```

Results
ΔE_f (raw): -157 meV/atom
SG: No. 42

DFT (PBE) results for a geometry-optimized Rb3Ac3PbO8 structure.

```
15
Lattice="-4.751 -2.899 -5.131 0.068 -2.727 7.062 -3.101 7.255 -1.227" Properties=species:S:1:pos:R:3 pbc="T T T"
Rb 0.000 0.000 0.000
Rb 0.034 -1.363 3.531
Rb -2.342 -2.813 0.966
Ac -3.926 2.178 -3.179
Ac -3.892 0.815 0.352
Ac -1.516 2.264 2.917
Pb -1.551 3.627 -0.614
O -2.258 0.043 2.067
O -5.526 1.586 -1.363
O -4.720 -1.516 -0.357
O -3.064 3.145 1.061
O -4.757 -0.030 -4.206
O -3.028 1.659 4.910
O -2.167 1.550 -1.410
O -5.617 0.079 2.114
```

Results
ΔE_f (raw): -2204 meV/atom
SG: No. 166

DFT (PBE) results for a geometry-optimized Al2Cr structure.

```
6
Lattice="1.408 4.909 -0.008 -1.408 4.909 -0.008 0.000 1.585 6.194" Properties=species:S:1:pos:R:3 pbc="T T T"
Al 0.000 11.279 6.099
Al 0.000 3.853 2.110
Al 0.000 7.651 4.192
Al 0.000 6.469 1.659
Cr 0.000 10.251 3.734
Cr 0.000 4.207 5.889
```

Results
SG: No. 8
Calculated formation energy: -0.029 eV/atom

DFT (PBE) results for a geometry-optimized CsTlAg3 structure.

```
5
Lattice="5.560 0.000 0.000 0.000 5.560 0.000 0.000 0.000 5.560" Properties=species:S:1:pos:R:3 pbc="T T T"
Cs 2.780 2.780 2.780
Tl 0.000 0.000 0.000
Ag 0.000 2.780 0.000
Ag 0.000 0.000 2.780
Ag 2.780 0.000 0.000
```

Results
SG: No. 221
Relative energy among the computed polymorphs: 0 meV per atom
Calculated formation energy: 0.223 eV/atom

DFT (PBE) results for a geometry-optimized Tb2InOsC structure.

```
5
Lattice="3.945 0.000 0.000 0.000 5.061 0.000 0.000 0.000 5.061" Properties=species:S:1:pos:R:3 pbc="T T T"
Tb 0.000 0.000 2.530
Tb 0.000 2.530 0.000
In 1.973 2.530 2.530
Os 1.973 0.000 0.000
C 0.000 0.000 0.000
```

Results
SG: No. 123
Calculated formation energy: -0.391 eV/atom

DFT (PBE) results for a geometry-optimized Ac2Zn3Au2 structure.

```
7
Lattice="-3.620 -2.692 1.914 1.467 -1.386 -5.450 4.506 -3.298 3.883" Properties=species:S:1:pos:R:3 pbc="T T T"
Ac -1.046 -4.038 -1.384
Ac 3.399 -3.339 1.732
Zn -1.810 -1.346 0.957
Zn -0.050 -3.182 1.704
Zn 2.402 -4.194 -1.357
Au 1.246 -5.569 0.798
Au 1.106 -1.807 -0.450
```

Results
SG: No. 12
Relative energy among the computed polymorphs: 0 meV per atom
Calculated formation energy: -0.527 eV/atom